[1]
This record from OQMD describes ZrTlGa2 after structural relaxation. The functional is PBE.

## Properties
Symmetry: F-43m
Crystal system: cubic

a = 4.9593 Å, b = 4.9593 Å, c = 4.9593 Å
α = 60.00°, β = 60.00°, γ = 60.00°
Positions (direct):
Ga  0.0000  0.0000  0.0000
Ga  0.7500  0.7500  0.7500
Tl  0.5000  0.5000  0.5000
Zr  0.2500  0.2500  0.2500

[2]
This record from OQMD describes ZrTlGa after structural relaxation. The functional is PBE.

## Properties
Symmetry: F-43m
Energy relative to the lowest polymorph listed for this composition in kJ/mol of formula units: 0
Crystal system: cubic

a = 4.6257 Å, b = 4.6257 Å, c = 4.6257 Å
α = 60.00°, β = 60.00°, γ = 60.00°
Positions (direct):
Ga  0.0000  0.0000  0.0000
Tl  0.2500  0.2500  0.2500
Zr  0.7500  0.7500  0.7500

[3]
This record from OQMD describes ZrTlGa after structural relaxation. The functional is PBE.

## Properties
Symmetry: F-43m
Energy relative to the lowest polymorph listed for this composition in kJ/mol of formula units: 11
Crystal system: cubic

a = 4.7658 Å, b = 4.7658 Å, c = 4.7658 Å
α = 60.00°, β = 60.00°, γ = 60.00°
Positions (direct):
Ga  0.2500  0.2500  0.2500
Tl  0.7500  0.7500  0.7500
Zr  0.0000  0.0000  0.0000

[4]
This record from OQMD describes TmGa after structural relaxation. The functional is PBE.

## Properties
Symmetry: Fm-3m
Crystal system: cubic

a = 4.1263 Å, b = 4.1263 Å, c = 4.1263 Å
α = 60.00°, β = 60.00°, γ = 60.00°
Each line ends with the local moment (μB).
Positions (direct):
Ga  0.0000  0.0000  0.0000  0.09
Tm  0.5000  0.5000  0.5000  0.16

[5]
This record from OQMD describes TmGa2 after structural relaxation. The functional is PBE.

## Properties
Symmetry: Fd-3m
Crystal system: cubic

a = 9.5023 Å, b = 9.5023 Å, c = 9.5023 Å
α = 60.00°, β = 60.00°, γ = 60.00°
Each line ends with the local moment (μB).
Positions (direct):
Ga  0.3750  0.3750  0.3750  0.36
Ga  0.8750  0.3750  0.3750  0.32
Ga  0.3750  0.8750  0.3750  0.36
Ga  0.3750  0.3750  0.8750  0.37
Tm  0.2500  0.2500  0.2500  0.99
Tm  0.5000  0.5000  0.5000  0.99

[6]
This record from OQMD describes TmGa2 after structural relaxation. The functional is PBE.

## Properties
Symmetry: Fd-3m
Crystal system: cubic

a = 5.4614 Å, b = 5.4614 Å, c = 5.4614 Å
α = 60.00°, β = 60.00°, γ = 60.00°
Positions (direct):
Ga  0.6250  0.6250  0.1250
Ga  0.6250  0.1250  0.6250
Ga  0.1250  0.6250  0.6250
Ga  0.6250  0.6250  0.6250
Tm  0.0000  0.0000  0.0000
Tm  0.2500  0.2500  0.2500

[7]
This record from OQMD describes TmGa3 after structural relaxation. The functional is PBE.

## Properties
Symmetry: Pm-3m
Crystal system: cubic

a = 4.2235 Å, b = 4.2235 Å, c = 4.2235 Å
α = 90.00°, β = 90.00°, γ = 90.00°
Positions (direct):
Ga  0.5000  0.5000  0.0000
Ga  0.5000  0.0000  0.5000
Ga  0.0000  0.5000  0.5000
Tm  0.0000  0.0000  0.0000

[8]
This record from OQMD describes TmGa after structural relaxation. The functional is PBE.

## Properties
Symmetry: F-43m
Crystal system: cubic

a = 4.5834 Å, b = 4.5834 Å, c = 4.5834 Å
α = 60.00°, β = 60.00°, γ = 60.00°
Positions (direct):
Ga  0.0000  0.0000  0.0000
Tm  0.2500  0.2500  0.2500

[9]
This record from OQMD describes TmGa after structural relaxation. The functional is PBE.

## Properties
Symmetry: P-6m2
Crystal system: hexagonal

a = 3.5023 Å, b = 3.5022 Å, c = 4.4970 Å
α = 90.00°, β = 90.00°, γ = 120.00°
Positions (direct):
Ga  0.6667  0.3333  0.7500
Tm  0.3333  0.6667  0.2500

[10]
This record from OQMD describes YTmGa2 after structural relaxation. The functional is PBE.

## Properties
Symmetry: Amm2
Crystal system: orthorhombic

a = 4.0315 Å, b = 5.8128 Å, c = 5.8128 Å
α = 43.51°, β = 90.00°, γ = 90.00°
Positions (direct):
Ga  0.0000  0.0770  0.0770
Ga  0.5000  0.9228  0.9228
Tm  0.0000  0.3609  0.3609
Y  0.5000  0.6394  0.6394

[11]
This record from OQMD describes YTmGa4 after structural relaxation. The functional is PBE.

## Properties
Symmetry: Cmcm
Crystal system: orthorhombic

a = 9.5243 Å, b = 9.5243 Å, c = 6.4733 Å
α = 90.00°, β = 90.00°, γ = 155.13°
Positions (direct):
Ga  0.5000  0.5000  0.0000
Ga  0.3528  0.6472  0.0450
Ga  0.9291  0.0709  0.2500
Ga  0.3528  0.6472  0.4550
Ga  0.5000  0.5000  0.5000
Ga  0.6472  0.3528  0.5450
Ga  0.0709  0.9291  0.7500
Ga  0.6472  0.3528  0.9550
Tm  0.7651  0.2349  0.2500
Tm  0.2349  0.7651  0.7500
Y  0.0914  0.9086  0.2500
Y  0.9086  0.0914  0.7500

[12]
This record from OQMD describes Tm3Zn2Ga4 after structural relaxation. The functional is PBE.

## Properties
Symmetry: C2/m
Crystal system: monoclinic

a = 5.6436 Å, b = 5.6436 Å, c = 8.3367 Å
α = 109.40°, β = 109.40°, γ = 45.39°
Positions (direct):
Ga  0.9352  0.9352  0.1014
Ga  0.2940  0.2940  0.4585
Ga  0.7060  0.7060  0.5415
Ga  0.0648  0.0648  0.8986
Tm  0.6691  0.6691  0.1666
Tm  0.0000  0.0000  0.5000
Tm  0.3309  0.3309  0.8334
Zn  0.3963  0.3963  0.2268
Zn  0.6037  0.6037  0.7732

[13]
This record from OQMD describes TmZrGa after structural relaxation. The functional is PBE.

## Properties
Symmetry: F-43m
Energy relative to the lowest polymorph listed for this composition in kJ/mol of formula units: 0
Crystal system: cubic

a = 4.7287 Å, b = 4.7287 Å, c = 4.7287 Å
α = 60.00°, β = 60.00°, γ = 60.00°
Positions (direct):
Ga  0.0000  0.0000  0.0000
Tm  0.2500  0.2500  0.2500
Zr  0.7500  0.7500  0.7500

[14]
This record from OQMD describes UGa after structural relaxation. The functional is PBE.

## Properties
Symmetry: F-43m
Crystal system: cubic

a = 4.5616 Å, b = 4.5616 Å, c = 4.5616 Å
α = 60.00°, β = 60.00°, γ = 60.00°
Each line ends with the local moment (μB).
Positions (direct):
Ga  0.0000  0.0000  0.0000  -0.01
U  0.2500  0.2500  0.2500  2.28

| no. | E (eV/atom) |
| --- | --- |
| 1 | -4.026 |
| 2 | -4.452 |
| 3 | -4.415 |
| 4 | -3.984 |
| 5 | -2.181 |
| 6 | -4.038 |
| 7 | -3.897 |
| 8 | -3.211 |
| 9 | -4.060 |
| 10 | -4.892 |
| 11 | -4.400 |
| 12 | -3.683 |
| 13 | -5.462 |
| 14 | -5.697 |